Entry from the Alexandria database: an optimized crystal structure of Ti3Rh2Au (PBE).

## Properties
- DOS at the Fermi energy: 6.88 states/eV/f.u.
- Volume: 15.744 Å³/atom
- Energy relative to the elements: -353 kJ/mol of formula units
- Crystal system: tetragonal

a = 2.9707 Å, b = 2.9707 Å, c = 10.7039 Å
α = 90.00°, β = 90.00°, γ = 90.00°
With the nearest neighbours (Å) after each atom.
Space group P4/mmm (No. 123)
One atom of each set of equivalent atoms:
Ti 0.0000 0.0000 0.0000 [1 per cell]  8 Rh 2.66, 4 Ti 2.97
Ti 0.0000 0.0000 0.3165 [2 per cell]  4 Rh 2.74, 4 Au 2.88, 4 Ti 2.97
Rh 0.5000 0.5000 0.1520 [2 per cell]  8 Ti 2.66-2.74, 4 Rh 2.97
Au 0.5000 0.5000 0.5000 [1 per cell]  8 Ti 2.88, 4 Au 2.97

---

Entry from the Alexandria database: an optimized crystal structure of Ti2Rh2Au (PBE).

## Properties
- DOS at the Fermi energy: 4.63 states/eV/f.u.
- Volume: 15.989 Å³/atom
- Offset from the most stable computed form: 156 meV/atom
- Energy relative to the elements: -227 kJ/mol of formula units
- Crystal system: orthorhombic

a = 2.9445 Å, b = 4.5295 Å, c = 11.9885 Å
α = 90.00°, β = 90.00°, γ = 90.00°
With the nearest neighbours (Å) after each atom.
Space group Pmmn (No. 59, origin choice 2)
One atom of each set of equivalent atoms:
Ti 0.2500 0.2500 0.0513 [2 per cell]  4 Rh 2.47-2.66
Ti 0.2500 0.7500 0.3561 [2 per cell]  5 Rh 2.55-2.67
Rh 0.2500 0.2500 0.4707 [2 per cell]  4 Ti 2.55-2.65, 4 Rh 2.79
Rh 0.2500 0.7500 0.1334 [2 per cell]  5 Ti 2.47-2.67
Au 0.2500 0.7500 0.7434 [2 per cell]  6 Ti 2.87-2.95, 2 Au 2.94, 6 Rh 2.96-3.08

---

Entry from the Alexandria database: an optimized crystal structure of Ti6RhAu (PBE).

## Properties
- DOS at the Fermi energy: 11.85 states/eV/f.u.
- Volume: 16.222 Å³/atom
- Energy relative to the elements: -293 kJ/mol of formula units
- Crystal system: trigonal

a = 7.1647 Å, b = 7.1647 Å, c = 8.7600 Å
α = 90.00°, β = 90.00°, γ = 120.00°
With the nearest neighbours (Å) after each atom.
Space group R-3 (No. 148, hexagonal axes)
One atom of each set of equivalent atoms:
Ti 0.0019 0.7514 0.2512 [18 per cell]  2 Ti 2.50-2.56
Rh 0.0000 0.0000 0.5000 [3 per cell]  12 Ti 2.82-2.83
Au 0.0000 0.0000 0.0000 [3 per cell]  12 Ti 2.84

---

Entry from the Alexandria database: an optimized crystal structure of TiVRhAu2 (PBE).

## Properties
- DOS at the Fermi energy: 6.24 states/eV/f.u.
- Volume: 19.251 Å³/atom
- Energy relative to the elements: 462 kJ/mol of formula units
- Crystal system: tetragonal

a = 4.8312 Å, b = 4.8312 Å, c = 4.1239 Å
α = 90.00°, β = 90.00°, γ = 90.00°
With the nearest neighbours (Å) after each atom.
Space group P4/mmm (No. 123)
One atom of each set of equivalent atoms:
Ti 0.0000 0.0000 0.0000 [1 per cell]  2 V 2.06
V 0.0000 0.0000 0.5000 [1 per cell]  2 Ti 2.06
Rh 0.5000 0.5000 0.0000 [1 per cell]  8 Au 3.18, 4 Ti 3.42
Au 0.0000 0.5000 0.5000 [2 per cell]  2 V 2.42